# BeCdGa2

Crystalline BeCdGa2 at its relaxed geometry (PBE-GGA, the Alexandria database).

Lattice parameters (Å, degrees): 4.2344 4.2344 16.5024 90.00 90.00 90.00
Sites, in units of the cell vectors:
Be  0.0000  0.0000  0.0000
Be  0.0000  0.5000  0.2500
Be  0.5000  0.0000  0.7500
Be  0.5000  0.5000  0.5000
Cd  0.0000  0.0000  0.5000
Cd  0.0000  0.5000  0.7500
Cd  0.5000  0.0000  0.2500
Cd  0.5000  0.5000  0.0000
Ga  0.1834  0.2500  0.1250
Ga  0.2500  0.6834  0.3750
Ga  0.2500  0.8166  0.8750
Ga  0.3166  0.2500  0.6250
Ga  0.6834  0.7500  0.6250
Ga  0.7500  0.1834  0.8750
Ga  0.7500  0.3166  0.3750
Ga  0.8166  0.7500  0.1250

**Formation enthalpy at 0 K**: 287 meV per atom
**SG**: No. 122
**Relative energy among the computed polymorphs**: 107 meV/atom
**Final energy**: -2.387 eV per atom
**Fermi-level density of states**: 0.3954 states/eV/atom

# SrEr2Se

Crystalline SrEr2Se at its relaxed geometry (PBE-GGA, the Alexandria database).

Lattice parameters (Å, degrees): 3.8285 3.8285 31.5338 90.00 90.00 120.00
Sites, in units of the cell vectors:
Sr  0.0000  0.0000  0.0000
Sr  0.3333  0.6667  0.6667
Sr  0.6667  0.3333  0.3333
Er  0.0000  0.0000  0.1122
Er  0.0000  0.0000  0.8878
Er  0.3333  0.6667  0.5545
Er  0.3333  0.6667  0.7789
Er  0.6667  0.3333  0.2211
Er  0.6667  0.3333  0.4455
Se  0.0000  0.0000  0.5000
Se  0.3333  0.6667  0.1667
Se  0.6667  0.3333  0.8333

**SG**: No. 166
**Final energy**: -4.146 eV per atom
**Fermi-level density of states**: 0.9638 states/eV/atom

# AgAu3S

Crystalline AgAu3S at its relaxed geometry (PBE-GGA, the Alexandria database).

Lattice parameters (Å, degrees): 5.0649 5.0649 5.0649 90.00 90.00 90.00
Sites, in units of the cell vectors:
Ag  0.0000  0.0000  0.0000
Au  0.0000  0.0000  0.5000
Au  0.0000  0.5000  0.0000
Au  0.5000  0.0000  0.0000
S  0.5000  0.5000  0.5000

**SG**: No. 221
**Relative energy among the computed polymorphs**: 590 meV/atom
**Final energy**: -2.242 eV per atom
**Fermi-level density of states**: 0.2335 states/eV/atom

# ReAs2Pt

Crystalline ReAs2Pt at its relaxed geometry (PBE-GGA, the Alexandria database).

Lattice parameters (Å, degrees): 3.0293 5.0010 8.7845 90.00 90.00 90.00
Sites, in units of the cell vectors:
Re  0.0000  0.0000  0.0000
Re  0.5000  0.5000  0.0000
As  0.0000  0.5000  0.2348
As  0.0000  0.5000  0.7652
As  0.5000  0.0000  0.2348
As  0.5000  0.0000  0.7652
Pt  0.0000  0.0000  0.5000
Pt  0.5000  0.5000  0.5000

**Formation enthalpy at 0 K**: 435 meV per atom
**SG**: No. 65
**Relative energy among the computed polymorphs**: 341 meV/atom
**Final energy**: -6.512 eV per atom
**Fermi-level density of states**: 0.5426 states/eV/atom

# LiSi2P

Crystalline LiSi2P at its relaxed geometry (PBE-GGA, the Alexandria database).

Lattice parameters (Å, degrees): 3.2584 3.2584 5.9120 90.00 90.00 90.00
Sites, in units of the cell vectors:
Li  0.0000  0.0000  0.0000
Si  0.5000  0.5000  0.2956
Si  0.5000  0.5000  0.7044
P  0.0000  0.0000  0.5000

**SG**: No. 123
**Final energy**: -4.324 eV per atom
**Fermi-level density of states**: 0.3077 states/eV/atom

# Na2DyZrS4

Crystalline Na2DyZrS4 at its relaxed geometry (PBE-GGA, the Alexandria database).

Lattice parameters (Å, degrees): 6.6712 3.8181 7.0969 90.00 108.06 90.00
Sites, in units of the cell vectors:
Na  0.0000  0.0000  0.0000
Na  0.5000  0.5000  0.0000
Dy  0.0000  0.5000  0.5000
Zr  0.5000  0.0000  0.5000
S  0.2539  0.0000  0.7284
S  0.2679  0.5000  0.2757
S  0.7321  0.5000  0.7243
S  0.7461  0.0000  0.2716

**SG**: No. 10
**Final energy**: -5.676 eV per atom
**Fermi-level density of states**: 0.3785 states/eV/atom

# ErAl2Tl3O6

Crystalline ErAl2Tl3O6 at its relaxed geometry (PBE-GGA, the Alexandria database).

Lattice parameters (Å, degrees): 6.0342 6.0342 7.2394 90.00 90.00 120.00
Sites, in units of the cell vectors:
Er  0.0000  0.0000  0.0000
Al  0.3333  0.6667  0.8073
Al  0.6667  0.3333  0.1927
Tl  0.0000  0.0000  0.5000
Tl  0.3333  0.6667  0.2611
Tl  0.6667  0.3333  0.7389
O  0.1699  0.3398  0.8083
O  0.1699  0.8301  0.8083
O  0.3398  0.1699  0.1917
O  0.6602  0.8301  0.8083
O  0.8301  0.1699  0.1917
O  0.8301  0.6602  0.1917

**SG**: No. 164
**Final energy**: -6.059 eV per atom

# Na3LaCe2Se6

Crystalline Na3LaCe2Se6 at its relaxed geometry (PBE-GGA, the Alexandria database).

Lattice parameters (Å, degrees): 7.5060 7.5060 7.3919 99.74 99.74 120.00
Sites, in units of the cell vectors:
Na  0.0000  0.0000  0.0000
Na  0.3336  0.6664  0.0000
Na  0.6664  0.3336  0.0000
La  0.5000  0.5000  0.5000
Ce  0.1667  0.8333  0.5000
Ce  0.8333  0.1667  0.5000
Se  0.0843  0.4213  0.2639
Se  0.2420  0.2420  0.7370
Se  0.4213  0.0843  0.2639
Se  0.5787  0.9157  0.7361
Se  0.7580  0.7580  0.2630
Se  0.9157  0.5787  0.7361

**SG**: No. 12
**Final energy**: -5.135 eV per atom
**Fermi-level density of states**: 1.0013 states/eV/atom

# PmMg2Hg4

Crystalline PmMg2Hg4 at its relaxed geometry (PBE-GGA, the Alexandria database).

Lattice parameters (Å, degrees): 8.8296 8.8296 8.8296 32.37 32.37 32.37
Sites, in units of the cell vectors:
Pm  0.0000  0.0000  0.0000
Mg  0.2465  0.2465  0.2465
Mg  0.7535  0.7535  0.7535
Hg  0.1304  0.1304  0.1304
Hg  0.3899  0.3899  0.3899
Hg  0.6101  0.6101  0.6101
Hg  0.8696  0.8696  0.8696

**Formation enthalpy at 0 K**: -280 meV per atom
**SG**: No. 166
**Final energy**: -1.587 eV per atom
**Fermi-level density of states**: 0.4662 states/eV/atom

# KLiIn2Ir

Crystalline KLiIn2Ir at its relaxed geometry (PBE-GGA, the Alexandria database).

Lattice parameters (Å, degrees): 5.1824 5.1824 5.1622 90.00 90.00 90.00
Sites, in units of the cell vectors:
K  0.0000  0.0000  0.0000
Li  0.5000  0.5000  0.0000
In  0.0000  0.5000  0.5000
In  0.5000  0.0000  0.5000
Ir  0.5000  0.5000  0.5000

**Formation enthalpy at 0 K**: -160 meV per atom
**SG**: No. 123
**Final energy**: -3.629 eV per atom
**Fermi-level density of states**: 0.3135 states/eV/atom

# TbEuPdRu

Crystalline TbEuPdRu at its relaxed geometry (PBE-GGA, the Alexandria database).

Lattice parameters (Å, degrees): 6.9948 6.9948 6.9948 90.00 90.00 90.00
Sites, in units of the cell vectors:
Tb  0.0000  0.0000  0.0000
Tb  0.0000  0.5000  0.5000
Tb  0.5000  0.0000  0.5000
Tb  0.5000  0.5000  0.0000
Eu  0.0000  0.0000  0.5000
Eu  0.0000  0.5000  0.0000
Eu  0.5000  0.0000  0.0000
Eu  0.5000  0.5000  0.5000
Pd  0.2500  0.2500  0.7500
Pd  0.2500  0.7500  0.2500
Pd  0.7500  0.2500  0.2500
Pd  0.7500  0.7500  0.7500
Ru  0.2500  0.2500  0.2500
Ru  0.2500  0.7500  0.7500
Ru  0.7500  0.2500  0.7500
Ru  0.7500  0.7500  0.2500

**Formation enthalpy at 0 K**: -343 meV per atom
**SG**: No. 216
**Final energy**: -7.686 eV per atom
**Fermi-level density of states**: 2.5419 states/eV/atom

# CrAgRh

Crystalline CrAgRh at its relaxed geometry (PBE-GGA, the Alexandria database).

Lattice parameters (Å, degrees): 2.7181 2.7181 6.8592 90.00 90.00 120.00
Sites, in units of the cell vectors:
Cr  0.0000  0.0000  0.0000
Ag  0.3333  0.6667  0.6515
Rh  0.6667  0.3333  0.2846

**Formation enthalpy at 0 K**: 230 meV per atom
**SG**: No. 156
**Relative energy among the computed polymorphs**: 17 meV/atom
**Final energy**: -6.379 eV per atom
**Fermi-level density of states**: 0.7059 states/eV/atom

# Pm5GaS4

Crystalline Pm5GaS4 at its relaxed geometry (PBE-GGA, the Alexandria database).

Lattice parameters (Å, degrees): 7.0893 7.0893 7.0893 99.51 99.51 132.04
Sites, in units of the cell vectors:
Pm  0.0000  0.0000  0.0000
Pm  0.1965  0.6004  0.7970
Pm  0.3996  0.1965  0.5961
Pm  0.6004  0.8035  0.4039
Pm  0.8035  0.3996  0.2030
Ga  0.5000  0.5000  0.0000
S  0.1013  0.3007  0.4020
S  0.3007  0.8987  0.1994
S  0.6993  0.1013  0.8006
S  0.8987  0.6993  0.5980

**SG**: No. 87
**Final energy**: -6.090 eV per atom
**Fermi-level density of states**: 0.3661 states/eV/atom

# Hf3Mn5N12

Crystalline Hf3Mn5N12 at its relaxed geometry (PBE-GGA, the Alexandria database).

Lattice parameters (Å, degrees): 10.2617 10.2617 10.2617 109.47 109.47 109.47
Sites, in units of the cell vectors:
Hf  0.1250  0.2500  0.3750
Hf  0.1250  0.3750  0.7500
Hf  0.2500  0.3750  0.1250
Hf  0.2500  0.8750  0.6250
Hf  0.3750  0.1250  0.2500
Hf  0.3750  0.7500  0.1250
Hf  0.6250  0.2500  0.8750
Hf  0.6250  0.8750  0.7500
Hf  0.7500  0.1250  0.3750
Hf  0.7500  0.6250  0.8750
Hf  0.8750  0.6250  0.2500
Hf  0.8750  0.7500  0.6250
Mn  0.0000  0.0000  0.0000
Mn  0.0000  0.0000  0.5000
Mn  0.0000  0.5000  0.0000
Mn  0.0000  0.5000  0.5000
Mn  0.1250  0.7500  0.8750
Mn  0.1250  0.8750  0.2500
Mn  0.2500  0.1250  0.8750
Mn  0.2500  0.6250  0.3750
Mn  0.3750  0.2500  0.6250
Mn  0.3750  0.6250  0.7500
Mn  0.5000  0.0000  0.0000
Mn  0.5000  0.0000  0.5000
Mn  0.5000  0.5000  0.0000
Mn  0.5000  0.5000  0.5000
Mn  0.6250  0.3750  0.2500
Mn  0.6250  0.7500  0.3750
Mn  0.7500  0.3750  0.6250
Mn  0.7500  0.8750  0.1250
Mn  0.8750  0.1250  0.7500
Mn  0.8750  0.2500  0.1250
N  0.0269  0.2109  0.1217
N  0.0269  0.3160  0.9052
N  0.0893  0.7109  0.6840
N  0.0893  0.8783  0.4052
N  0.0948  0.6217  0.4107
N  0.0948  0.9731  0.6840
N  0.1217  0.0269  0.2109
N  0.1217  0.5948  0.9107
N  0.1840  0.2109  0.5893
N  0.1840  0.4731  0.5948
N  0.2109  0.1217  0.0269
N  0.2109  0.5893  0.1840
N  0.2891  0.3160  0.9107
N  0.2891  0.4731  0.3783
N  0.3160  0.9052  0.0269
N  0.3160  0.9107  0.2891
N  0.3783  0.2891  0.4731
N  0.3783  0.5893  0.9052
N  0.4052  0.0893  0.8783
N  0.4052  0.8160  0.5269
N  0.4107  0.0948  0.6217
N  0.4107  0.8160  0.7891
N  0.4731  0.3783  0.2891
N  0.4731  0.5948  0.1840
N  0.5269  0.4052  0.8160
N  0.5269  0.6217  0.7109
N  0.5893  0.1840  0.2109
N  0.5893  0.9052  0.3783
N  0.5948  0.1840  0.4731
N  0.5948  0.9107  0.1217
N  0.6217  0.4107  0.0948
N  0.6217  0.7109  0.5269
N  0.6840  0.0893  0.7109
N  0.6840  0.0948  0.9731
N  0.7109  0.5269  0.6217
N  0.7109  0.6840  0.0893
N  0.7891  0.4107  0.8160
N  0.7891  0.8783  0.9731
N  0.8160  0.5269  0.4052
N  0.8160  0.7891  0.4107
N  0.8783  0.4052  0.0893
N  0.8783  0.9731  0.7891
N  0.9052  0.0269  0.3160
N  0.9052  0.3783  0.5893
N  0.9107  0.1217  0.5948
N  0.9107  0.2891  0.3160
N  0.9731  0.6840  0.0948
N  0.9731  0.7891  0.8783

**SG**: No. 230
**Final energy**: -9.310 eV per atom
**Fermi-level density of states**: 0.4045 states/eV/atom

# Rb5Hg12Te3

Crystalline Rb5Hg12Te3 at its relaxed geometry (PBE-GGA, the Alexandria database).

Lattice parameters (Å, degrees): 17.4594 17.4594 17.4594 109.47 109.47 109.47
Sites, in units of the cell vectors:
Rb  0.0000  0.0000  0.0000
Rb  0.0000  0.0000  0.5000
Rb  0.0000  0.5000  0.0000
Rb  0.0000  0.5000  0.5000
Rb  0.1250  0.7500  0.8750
Rb  0.1250  0.8750  0.2500
Rb  0.2500  0.1250  0.8750
Rb  0.2500  0.6250  0.3750
Rb  0.3750  0.2500  0.6250
Rb  0.3750  0.6250  0.7500
Rb  0.5000  0.0000  0.0000
Rb  0.5000  0.0000  0.5000
Rb  0.5000  0.5000  0.0000
Rb  0.5000  0.5000  0.5000
Rb  0.6250  0.3750  0.2500
Rb  0.6250  0.7500  0.3750
Rb  0.7500  0.3750  0.6250
Rb  0.7500  0.8750  0.1250
Rb  0.8750  0.1250  0.7500
Rb  0.8750  0.2500  0.1250
Hg  0.0459  0.6222  0.3781
Hg  0.0459  0.9237  0.6678
Hg  0.0763  0.2441  0.1222
Hg  0.0763  0.3322  0.9541
Hg  0.1222  0.0763  0.2441
Hg  0.1222  0.5459  0.8781
Hg  0.1219  0.7441  0.6678
Hg  0.1219  0.8778  0.4541
Hg  0.1678  0.2441  0.6219
Hg  0.1678  0.4237  0.5459
Hg  0.2441  0.1222  0.0763
Hg  0.2441  0.6219  0.1678
Hg  0.2559  0.3322  0.8781
Hg  0.2559  0.4237  0.3778
Hg  0.3322  0.8781  0.2559
Hg  0.3322  0.9541  0.0763
Hg  0.3781  0.0459  0.6222
Hg  0.3778  0.2559  0.4237
Hg  0.3778  0.6219  0.9541
Hg  0.3781  0.8322  0.7559
Hg  0.4237  0.3778  0.2559
Hg  0.4237  0.5459  0.1678
Hg  0.4541  0.1219  0.8778
Hg  0.4541  0.8322  0.5763
Hg  0.5459  0.1678  0.4237
Hg  0.5459  0.8781  0.1222
Hg  0.5763  0.4541  0.8322
Hg  0.5763  0.6222  0.7441
Hg  0.6219  0.1678  0.2441
Hg  0.6222  0.3781  0.0459
Hg  0.6222  0.7441  0.5763
Hg  0.6219  0.9541  0.3778
Hg  0.6678  0.0459  0.9237
Hg  0.6678  0.1219  0.7441
Hg  0.7441  0.5763  0.6222
Hg  0.7441  0.6678  0.1219
Hg  0.7559  0.3781  0.8322
Hg  0.7559  0.8778  0.9237
Hg  0.8322  0.5763  0.4541
Hg  0.8322  0.7559  0.3781
Hg  0.8781  0.1222  0.5459
Hg  0.8781  0.2559  0.3322
Hg  0.8778  0.4541  0.1219
Hg  0.8778  0.9237  0.7559
Hg  0.9237  0.6678  0.0459
Hg  0.9237  0.7559  0.8778
Hg  0.9541  0.0763  0.3322
Hg  0.9541  0.3778  0.6219
Te  0.1250  0.2500  0.3750
Te  0.1250  0.3750  0.7500
Te  0.2500  0.3750  0.1250
Te  0.2500  0.8750  0.6250
Te  0.3750  0.1250  0.2500
Te  0.3750  0.7500  0.1250
Te  0.6250  0.2500  0.8750
Te  0.6250  0.8750  0.7500
Te  0.7500  0.1250  0.3750
Te  0.7500  0.6250  0.8750
Te  0.8750  0.6250  0.2500
Te  0.8750  0.7500  0.6250

**SG**: No. 230
**Final energy**: -1.056 eV per atom
**Fermi-level density of states**: 0.9139 states/eV/atom

# Nd5Sb4S

Crystalline Nd5Sb4S at its relaxed geometry (PBE-GGA, the Alexandria database).

Lattice parameters (Å, degrees): 15.9857 15.9857 15.9857 163.97 163.97 22.74
Sites, in units of the cell vectors:
Nd  0.0000  0.0000  0.0000
Nd  0.2005  0.2005  0.0000
Nd  0.4058  0.4058  0.0000
Nd  0.5942  0.5942  0.0000
Nd  0.7995  0.7995  0.0000
Sb  0.0987  0.0987  0.0000
Sb  0.3026  0.3026  0.0000
Sb  0.6974  0.6974  0.0000
Sb  0.9013  0.9013  0.0000
S  0.5000  0.5000  0.0000

**SG**: No. 139
**Relative energy among the computed polymorphs**: 17 meV/atom
**Final energy**: -5.764 eV per atom
**Fermi-level density of states**: 0.2351 states/eV/atom

# GaPPb

Crystalline GaPPb at its relaxed geometry (PBE-GGA, the Alexandria database).

Lattice parameters (Å, degrees): 4.4953 5.0208 14.2775 90.00 90.00 90.00
Sites, in units of the cell vectors:
Ga  0.0000  0.2379  0.0000
Ga  0.0000  0.7621  0.0000
Ga  0.5000  0.2621  0.5000
Ga  0.5000  0.7379  0.5000
P  0.0000  0.5000  0.1387
P  0.0000  0.5000  0.8613
P  0.5000  0.0000  0.3613
P  0.5000  0.0000  0.6387
Pb  0.0000  0.5000  0.3645
Pb  0.0000  0.5000  0.6355
Pb  0.5000  0.0000  0.1355
Pb  0.5000  0.0000  0.8645

**Formation enthalpy at 0 K**: 173 meV per atom
**SG**: No. 71
**Relative energy among the computed polymorphs**: 201 meV/atom
**Final energy**: -3.876 eV per atom
**Fermi-level density of states**: 0.2123 states/eV/atom

# CaWIN2

Crystalline CaWIN2 at its relaxed geometry (PBE-GGA, the Alexandria database).

Lattice parameters (Å, degrees): 4.2620 4.2620 5.6283 90.00 90.00 90.00
Sites, in units of the cell vectors:
Ca  0.0000  0.0000  0.0000
W  0.5000  0.5000  0.5000
I  0.0000  0.0000  0.5000
N  0.0000  0.5000  0.0000
N  0.5000  0.0000  0.0000

**SG**: No. 123
**Relative energy among the computed polymorphs**: 2311 meV/atom
**Final energy**: -4.247 eV per atom
**Fermi-level density of states**: 1.4090 states/eV/atom

# NiHPd2Pt

Crystalline NiHPd2Pt at its relaxed geometry (PBE-GGA, the Alexandria database).

Lattice parameters (Å, degrees): 3.9614 3.9614 3.9147 90.00 90.00 90.00
Sites, in units of the cell vectors:
Ni  0.0000  0.0000  0.0000
H  0.5000  0.5000  0.5000
Pd  0.0000  0.5000  0.5000
Pd  0.5000  0.0000  0.5000
Pt  0.5000  0.5000  0.0000

**SG**: No. 123
**Relative energy among the computed polymorphs**: 26 meV/atom
**Final energy**: -5.082 eV per atom
**Fermi-level density of states**: 1.4567 states/eV/atom